A relaxed Tm4PSe3 crystal. Source: Alexandria via LeMat-Bulk, functional PBE.

POSCAR file:
```
Tm4PSe3
1.0
5.647 0.000 0.000
0.000 5.647 0.000
0.000 0.000 5.647
Tm P Se
4 1 3
Cartesian
0.000 0.000 0.000
0.000 2.823 2.823
2.823 0.000 2.823
2.823 2.823 0.000
2.823 2.823 2.823
0.000 0.000 2.823
0.000 2.823 0.000
2.823 0.000 0.000
```

* N(E_F): 1.51 states/eV/cell
* V: 180 Å³ per cell
* E_tot: -5.91 eV/atom
* uncorrected formation energy: -1694 meV/atom


A relaxed Tm6P5Se crystal. Source: Alexandria via LeMat-Bulk, functional PBE.

POSCAR file:
```
Tm6P5Se
1.0
3.430 -5.936 0.000
3.430 5.936 0.000
-2.287 0.000 6.468
Tm P Se
6 5 1
Cartesian
-0.035 2.037 4.815
1.076 0.000 1.651
-0.035 -2.037 4.815
4.608 2.037 1.653
3.497 0.000 4.817
4.608 -2.037 1.653
-1.144 0.000 3.234
3.430 3.952 0.000
2.286 1.945 3.234
2.286 -1.945 3.234
3.430 -3.952 0.000
3.430 0.000 0.000
```

* N(E_F): 2.36 states/eV/cell
* V: 263 Å³ per cell
* E_tot: -6.46 eV/atom
* uncorrected formation energy: -1681 meV/atom


A relaxed Tm3PSe2 crystal. Source: Alexandria via LeMat-Bulk, functional PBE.

POSCAR file:
```
Tm3PSe2
1.0
-1.983 2.808 6.080
1.983 -2.808 6.080
1.983 2.808 -6.080
Tm P Se
3 1 2
Cartesian
0.000 0.000 0.000
0.000 0.000 4.242
0.000 0.000 7.918
0.000 2.808 0.000
1.983 0.000 2.079
0.000 2.808 4.001
```

* N(E_F): 2.02 states/eV/cell
* V: 135 Å³ per cell
* E_tot: -6.03 eV/atom
* uncorrected formation energy: -1727 meV/atom


A relaxed Tm4P2Se crystal. Source: Alexandria via LeMat-Bulk, functional PBE.

POSCAR file:
```
Tm4P2Se
1.0
1.952 1.127 12.816
-1.952 1.127 12.816
0.000 -2.254 12.816
Tm P Se
4 2 1
Cartesian
0.000 0.000 4.916
0.000 0.000 10.992
0.000 0.000 27.456
0.000 0.000 33.532
0.000 0.000 16.160
0.000 0.000 22.289
0.000 0.000 0.000
```

* N(E_F): 4.19 states/eV/cell
* V: 169 Å³ per cell
* E_tot: -6.00 eV/atom
* uncorrected formation energy: -1406 meV/atom


A relaxed Tm4P3Se crystal. Source: Alexandria via LeMat-Bulk, functional PBE.

POSCAR file:
```
Tm4P3Se
1.0
-2.802 2.802 5.606
2.802 -2.802 5.606
2.802 2.802 -5.606
Tm P Se
4 3 1
Cartesian
2.802 0.000 0.000
0.000 0.000 2.717
0.000 2.802 0.000
0.000 0.000 8.495
0.000 0.000 0.000
2.802 0.000 2.803
0.000 2.802 2.803
0.000 0.000 5.606
```

* energy above the lowest structure with this stoichiometry: 0.0 kJ per mole of atoms
* N(E_F): 2.55 states/eV/cell
* V: 176 Å³ per cell
* E_tot: -6.39 eV/atom
* uncorrected formation energy: -1685 meV/atom


A relaxed TmPSe4 crystal. Source: Alexandria via LeMat-Bulk, functional PBE.

POSCAR file:
```
TmPSe4
1.0
0.000 6.366 6.882
3.767 0.000 6.882
3.767 6.366 0.000
Tm P Se
2 2 8
Cartesian
0.942 1.591 1.721
6.593 11.140 12.044
2.826 4.774 5.162
4.709 7.957 8.603
4.337 3.407 6.179
4.337 6.142 4.145
6.220 6.590 7.586
1.314 3.407 4.145
6.220 9.325 9.620
1.314 6.142 6.179
3.198 6.590 9.620
3.198 9.325 7.586
```

* N(E_F): 0.20 states/eV/cell
* V: 330 Å³ per cell
* E_tot: -4.68 eV/atom
* uncorrected formation energy: -712 meV/atom